1.
Material: Cr2AuSe
Method: DFT, PBE
State: optimized geometry

Cell and atoms, written as POSCAR:
```
Cr2AuSe
1.0
3.274 0.000 0.000
0.000 4.652 0.000
0.000 0.000 4.652
Cr Au Se
2 1 1
direct
0.000 0.500 0.500
0.000 0.000 0.000
0.500 0.000 0.500
0.500 0.500 0.000
```

Properties
E_form (uncorrected), eV/f.u.: 0.841
Theoretical density, kg/m³: 8905

=====

2.
Material: CrAuSe2
Method: DFT, PBE
State: optimized geometry

Cell and atoms, written as POSCAR:
```
CrAuSe2
1.0
-0.095 0.165 2.885
-0.898 -2.746 0.127
9.024 -2.930 0.465
Se Au Cr
2 1 1
direct
0.000 0.000 0.910
0.000 0.000 0.590
0.500 0.500 0.250
0.500 0.500 0.750
```

Properties
E_form (uncorrected), eV/f.u.: 0.207
Theoretical density, kg/m³: 8507

=====

3.
Material: Cr2AuSe
Method: DFT, PBE
State: optimized geometry

Cell and atoms, written as POSCAR:
```
Cr2AuSe
1.0
8.854 -0.024 -0.014
8.362 2.909 -0.014
8.362 1.401 2.549
Se Cr Au
1 2 1
direct
0.519 0.519 0.519
0.255 0.255 0.255
0.987 0.987 0.987
0.738 0.738 0.738
```

Properties
E_form (uncorrected), eV/f.u.: 0.911
Theoretical density, kg/m³: 9480

=====

Record-wise volume values, in Å³ per cell: 70.85; 79.42; 66.55